1.
! KHfCuSe2S GGA-PBE optimized geometry; values from VASP
! Crystal system: monoclinic
! Space-group type: P2_1/m (11)
! Distance to the lowest polymorph of the same formula: 12.5 meV per atom
&SYSTEM
  ibrav = 0, nat = 12, ntyp = 5
/
ATOMIC_SPECIES
K 39.10 K.upf
Hf 178.49 Hf.upf
Cu 63.55 Cu.upf
Se 78.96 Se.upf
S 32.06 S.upf
ATOMIC_POSITIONS angstrom
K 1.0377 0.9625 2.6128
K 3.8474 2.8876 6.3251
Hf -0.3667 2.8876 7.4099
Hf 5.2518 0.9625 1.5280
Cu -1.4316 0.9625 5.3481
Cu 6.3167 2.8876 3.5898
Se -2.2143 0.9625 7.6587
Se 3.3502 2.8876 1.2736
Se 1.5349 0.9625 7.6643
Se 7.0994 2.8876 1.2792
S -0.1029 2.8876 4.9445
S 4.9879 0.9625 3.9934
CELL_PARAMETERS angstrom
8.4463 0.0000 0.0000
0.0000 3.8501 0.0000
-3.5612 0.0000 8.9379



2.
! KHfCuSe2S GGA-PBE optimized geometry; values from VASP
! Crystal system: orthorhombic
! Space-group type: Cmcm (63)
! Distance to the lowest polymorph of the same formula: 0.0 meV per atom
&SYSTEM
  ibrav = 0, nat = 12, ntyp = 5
/
ATOMIC_SPECIES
K 39.10 K.upf
Hf 178.49 Hf.upf
Cu 63.55 Cu.upf
Se 78.96 Se.upf
S 32.06 S.upf
ATOMIC_POSITIONS angstrom
K 1.9195 3.8091 7.4187
K 1.9195 -3.8091 2.4729
Hf 1.9195 0.0000 0.0000
Hf 1.9195 0.0000 4.9458
Cu 1.9195 6.8801 2.4729
Cu 1.9195 -6.8801 7.4187
Se 1.9195 5.5040 0.4771
Se 1.9195 5.5040 4.4687
Se 1.9195 -5.5040 5.4229
Se 1.9195 -5.5040 9.4145
S 1.9195 0.8519 2.4729
S 1.9195 -0.8519 7.4187
CELL_PARAMETERS angstrom
1.9195 -7.3413 0.0000
1.9195 7.3413 0.0000
0.0000 0.0000 9.8916



3.
! KHfCuTe2Se GGA-PBE optimized geometry; values from VASP
! Crystal system: monoclinic
! Space-group type: P2_1/m (11)
! Distance to the lowest polymorph of the same formula: 14.7 meV per atom
&SYSTEM
  ibrav = 0, nat = 12, ntyp = 5
/
ATOMIC_SPECIES
K 39.10 K.upf
Hf 178.49 Hf.upf
Cu 63.55 Cu.upf
Te 127.60 Te.upf
Se 78.96 Se.upf
ATOMIC_POSITIONS angstrom
K -0.8607 1.0102 2.8718
K 5.1783 3.0307 7.1611
Hf 3.3155 1.0102 1.7680
Hf 1.0021 3.0307 8.2649
Cu 2.4621 3.0307 4.0446
Cu 1.8555 1.0102 5.9883
Te 0.2075 3.0307 5.5588
Te -1.0796 1.0102 8.8335
Te 5.3972 3.0307 1.1994
Te 4.1101 1.0102 4.4741
Se 1.5733 3.0307 1.7562
Se 2.7443 1.0102 8.2767
CELL_PARAMETERS angstrom
8.5311 0.0000 0.0000
0.0000 4.0409 0.0000
-4.2135 0.0000 10.0329



4.
! KHfCuTe2Se GGA-PBE optimized geometry; values from VASP
! Crystal system: monoclinic
! Space-group type: P2_1/m (11)
! Distance to the lowest polymorph of the same formula: 0.0 meV per atom
&SYSTEM
  ibrav = 0, nat = 12, ntyp = 5
/
ATOMIC_SPECIES
K 39.10 K.upf
Hf 178.49 Hf.upf
Cu 63.55 Cu.upf
Te 127.60 Te.upf
Se 78.96 Se.upf
ATOMIC_POSITIONS angstrom
K 1.0779 1.0116 2.1133
K 3.6267 3.0348 7.4733
Hf -1.0288 3.0348 6.3026
Hf 5.7334 1.0116 3.2839
Cu 0.0366 1.0116 8.6016
Cu 4.6680 3.0348 0.9849
Te -1.5947 3.0348 9.0832
Te 1.0429 1.0116 6.1781
Te 3.6616 3.0348 3.4084
Te 6.2993 1.0116 0.5034
Se -1.1536 3.0348 3.5602
Se 5.8582 1.0116 6.0263
CELL_PARAMETERS angstrom
8.7004 0.0000 0.0000
0.0000 4.0464 0.0000
-3.9958 0.0000 9.5865